A crystal of Tc2HOsAu relaxed with PBEsol. Source: Alexandria via LeMat-Bulk, functional SCAN.

## Properties
- electronic total energy (eV/atom) = -41.44
- crystal system = tetragonal

Structure (extended XYZ):
```
5
Lattice="4.9234 0.0000 0.0000 0.0000 4.9234 0.0000 0.0000 0.0000 2.9422" Properties=species:S:1:pos:R:3 pbc="T T T"
Tc 0.0000 2.4617 0.0000
Tc 2.4617 0.0000 0.0000
H 0.0000 0.0000 1.4711
Os 2.4617 2.4617 1.4711
Au 0.0000 0.0000 0.0000
```

A crystal of P2HAu relaxed with PBEsol. Source: Alexandria via LeMat-Bulk, functional SCAN.

## Properties
- electronic total energy (eV/atom) = -22.80
- crystal system = tetragonal

Structure (extended XYZ):
```
16
Lattice="4.0507 0.0000 0.0000 0.0000 4.0507 0.0000 0.0000 0.0000 13.5367" Properties=species:S:1:pos:R:3 pbc="T T T"
P 0.5869 1.0127 1.6921
P 1.0127 2.6123 5.0763
P 1.0127 3.4638 11.8446
P 1.4385 1.0127 8.4605
P 2.6123 3.0380 8.4605
P 3.0380 0.5869 11.8446
P 3.0380 1.4385 5.0763
P 3.4638 3.0380 1.6921
H 0.0000 0.0000 0.0000
H 0.0000 2.0254 3.3842
H 2.0254 0.0000 10.1525
H 2.0254 2.0254 6.7684
Au 0.0000 0.0000 6.7684
Au 0.0000 2.0254 10.1525
Au 2.0254 0.0000 3.3842
Au 2.0254 2.0254 0.0000
```

A crystal of HPbAuS2 relaxed with PBEsol. Source: Alexandria via LeMat-Bulk, functional SCAN.

## Properties
- electronic total energy (eV/atom) = -33.15
- crystal system = tetragonal

Structure (extended XYZ):
```
5
Lattice="4.8127 0.0000 0.0000 0.0000 4.8127 0.0000 0.0000 0.0000 3.6183" Properties=species:S:1:pos:R:3 pbc="T T T"
H 0.0000 0.0000 0.0000
Pb 2.4064 2.4064 1.8092
Au 0.0000 0.0000 1.8092
S 0.0000 2.4064 0.0000
S 2.4064 0.0000 0.0000
```

A crystal of HPd2Au relaxed with PBEsol. Source: Alexandria via LeMat-Bulk, functional SCAN.

## Properties
- electronic total energy (eV/atom) = -34.54
- crystal system = tetragonal

Structure (extended XYZ):
```
16
Lattice="5.9909 0.0000 0.0000 0.0000 5.9909 0.0000 0.0000 0.0000 5.6585" Properties=species:S:1:pos:R:3 pbc="T T T"
H 0.0000 0.0000 0.0000
H 0.0000 2.9955 1.4146
H 2.9955 0.0000 4.2439
H 2.9955 2.9955 2.8292
Pd 0.8232 4.4932 0.7073
Pd 1.4977 0.8232 4.9512
Pd 1.4977 2.1723 2.1219
Pd 2.1723 4.4932 3.5366
Pd 3.8186 1.4977 3.5366
Pd 4.4932 3.8186 2.1219
Pd 4.4932 5.1678 4.9512
Pd 5.1678 1.4977 0.7073
Au 0.0000 0.0000 2.8292
Au 0.0000 2.9955 4.2439
Au 2.9955 0.0000 1.4146
Au 2.9955 2.9955 0.0000
```

A crystal of HPd3Au relaxed with PBEsol. Source: Alexandria via LeMat-Bulk, functional SCAN.

## Properties
- electronic total energy (eV/atom) = -34.29
- crystal system = cubic

Structure (extended XYZ):
```
5
Lattice="3.9710 0.0000 0.0000 0.0000 3.9710 0.0000 0.0000 0.0000 3.9710" Properties=species:S:1:pos:R:3 pbc="T T T"
H 0.0000 0.0000 0.0000
Pd 0.0000 0.0000 1.9855
Pd 0.0000 1.9855 0.0000
Pd 1.9855 0.0000 0.0000
Au 1.9855 1.9855 1.9855
```

A crystal of H2PdAu2 relaxed with PBEsol. Source: Alexandria via LeMat-Bulk, functional SCAN.

## Properties
- electronic total energy (eV/atom) = -35.57
- crystal system = tetragonal

Structure (extended XYZ):
```
5
Lattice="3.9377 0.0000 0.0000 0.0000 3.9377 0.0000 0.0000 0.0000 3.8968" Properties=species:S:1:pos:R:3 pbc="T T T"
H 0.0000 1.9688 0.0000
H 1.9688 0.0000 0.0000
Pd 0.0000 0.0000 0.0000
Au 0.0000 1.9688 1.9484
Au 1.9688 0.0000 1.9484
```

A crystal of H3PtAu relaxed with PBEsol. Source: Alexandria via LeMat-Bulk, functional SCAN.

## Properties
- electronic total energy (eV/atom) = -29.20
- crystal system = cubic

Structure (extended XYZ):
```
5
Lattice="3.5645 0.0000 0.0000 0.0000 3.5645 0.0000 0.0000 0.0000 3.5645" Properties=species:S:1:pos:R:3 pbc="T T T"
H 0.0000 0.0000 1.7822
H 0.0000 1.7822 0.0000
H 1.7822 0.0000 0.0000
Pt 1.7822 1.7822 1.7822
Au 0.0000 0.0000 0.0000
```

A crystal of ScHPt2Au relaxed with PBEsol. Source: Alexandria via LeMat-Bulk, functional SCAN.

## Properties
- electronic total energy (eV/atom) = -46.09
- crystal system = tetragonal

Structure (extended XYZ):
```
5
Lattice="4.0017 0.0000 0.0000 0.0000 4.0017 0.0000 0.0000 0.0000 4.1835" Properties=species:S:1:pos:R:3 pbc="T T T"
Sc 0.0000 0.0000 0.0000
H 0.0000 0.0000 2.0917
Pt 0.0000 2.0009 2.0917
Pt 2.0009 0.0000 2.0917
Au 2.0009 2.0009 0.0000
```

A crystal of RbH2Au relaxed with PBEsol. Source: Alexandria via LeMat-Bulk, functional SCAN.

## Properties
- electronic total energy (eV/atom) = -24.42
- crystal system = tetragonal

Structure (extended XYZ):
```
16
Lattice="5.7688 0.0000 0.0000 0.0000 5.7688 0.0000 0.0000 0.0000 7.9664" Properties=species:S:1:pos:R:3 pbc="T T T"
Rb 0.0000 0.0000 0.0000
Rb 0.0000 2.8844 1.9916
Rb 2.8844 0.0000 5.9748
Rb 2.8844 2.8844 3.9832
H 0.3914 4.3266 4.9790
H 1.4422 0.3914 2.9874
H 1.4422 2.4930 6.9706
H 2.4930 4.3266 0.9958
H 3.2758 1.4422 0.9958
H 4.3266 3.2758 6.9706
H 4.3266 5.3774 2.9874
H 5.3774 1.4422 4.9790
Au 0.0000 0.0000 3.9832
Au 0.0000 2.8844 5.9748
Au 2.8844 0.0000 1.9916
Au 2.8844 2.8844 0.0000
```

A crystal of Rb3HAu relaxed with PBEsol. Source: Alexandria via LeMat-Bulk, functional SCAN.

## Properties
- electronic total energy (eV/atom) = -27.15
- crystal system = cubic

Structure (extended XYZ):
```
5
Lattice="5.4995 0.0000 0.0000 0.0000 5.4995 0.0000 0.0000 0.0000 5.4995" Properties=species:S:1:pos:R:3 pbc="T T T"
Rb 0.0000 0.0000 2.7498
Rb 0.0000 2.7498 0.0000
Rb 2.7498 0.0000 0.0000
H 0.0000 0.0000 0.0000
Au 2.7498 2.7498 2.7498
```

A crystal of Rb2HAu relaxed with PBEsol. Source: Alexandria via LeMat-Bulk, functional SCAN.

## Properties
- electronic total energy (eV/atom) = -28.75
- crystal system = tetragonal

Structure (extended XYZ):
```
16
Lattice="8.0062 0.0000 0.0000 0.0000 8.0062 0.0000 0.0000 0.0000 8.3135" Properties=species:S:1:pos:R:3 pbc="T T T"
Rb 1.5053 6.0047 1.0392
Rb 2.0016 1.5053 7.2743
Rb 2.0016 2.4978 3.1176
Rb 2.4978 6.0047 5.1959
Rb 5.5085 2.0016 5.1959
Rb 6.0047 5.5085 3.1176
Rb 6.0047 6.5009 7.2743
Rb 6.5009 2.0016 1.0392
H 0.0000 0.0000 0.0000
H 0.0000 4.0031 2.0784
H 4.0031 0.0000 6.2351
H 4.0031 4.0031 4.1568
Au 0.0000 0.0000 4.1568
Au 0.0000 4.0031 6.2351
Au 4.0031 0.0000 2.0784
Au 4.0031 4.0031 0.0000
```

A crystal of Re3HAu relaxed with PBEsol. Source: Alexandria via LeMat-Bulk, functional SCAN.

## Properties
- electronic total energy (eV/atom) = -56.78
- crystal system = cubic

Structure (extended XYZ):
```
5
Lattice="3.9444 0.0000 0.0000 0.0000 3.9444 0.0000 0.0000 0.0000 3.9444" Properties=species:S:1:pos:R:3 pbc="T T T"
Re 0.0000 0.0000 1.9722
Re 0.0000 1.9722 0.0000
Re 1.9722 0.0000 0.0000
H 0.0000 0.0000 0.0000
Au 1.9722 1.9722 1.9722
```